KPm2Tl: relaxed, PBE-GGA.

Output
V in Å³/cell: 469
Total energy in eV/cell: -37.43
Space group: R-3m (166)
Formation energy from the elements in eV/atom: 0.122
Total magnetic moment in μB/atom: 0.04

Lattice parameters (Å, degrees): 3.7603 3.7603 38.3186 90.00 90.00 120.00
Fractional coordinates of all 12 atoms:
1 K 0.0000 0.0000 0.0000
2 K 0.3333 0.6667 0.6667
3 K 0.6667 0.3333 0.3333
4 Pm 0.0000 0.0000 0.1028
5 Pm 0.0000 0.0000 0.8972
6 Pm 0.3333 0.6667 0.5639
7 Pm 0.3333 0.6667 0.7695
8 Pm 0.6667 0.3333 0.2305
9 Pm 0.6667 0.3333 0.4361
10 Tl 0.0000 0.0000 0.5000
11 Tl 0.3333 0.6667 0.1667
12 Tl 0.6667 0.3333 0.8333